[1]
VASP calculation (PBE) on an optimized crystal structure of K2InHg.

Values from the calculation:
symmetry	Cm, No. 8
density of states at the Fermi level	0.59	states/eV per atom
polymorph energy (0 for the lowest one)	30.0	meV per atom
calculated formation energy	-125	meV per atom

Cell and atoms, written as POSCAR:
```
K2InHg
1.0
-3.3438 -3.0761 -5.0870
0.8976 -2.8721 -6.1210
0.2599 -6.1035 -0.1381
K Hg In
2 1 1
direct
0.9793 0.9793 0.0208
0.7797 0.7797 0.7205
0.5358 0.5358 0.4639
0.2053 0.2053 0.2948
```

=====

[2]
VASP calculation (PBE) on an optimized crystal structure of KInHg2.

Values from the calculation:
symmetry	P4/mmm, No. 123
density of states at the Fermi level	0.37	states/eV per atom
calculated formation energy	-155	meV per atom

Cell and atoms, written as POSCAR:
```
KInHg2
1.0
3.8870 0.0077 0.0000
-0.0117 3.8871 0.0000
0.0000 0.0000 8.0328
K Hg In
1 2 1
direct
0.5000 0.5000 0.7500
0.0000 0.0000 0.0330
0.0000 0.0000 0.4670
0.5000 0.5000 0.2500
```

=====

[3]
VASP calculation (PBE) on an optimized crystal structure of KIn4Hg4.

Values from the calculation:
symmetry	I4/m, No. 87
density of states at the Fermi level	0.56	states/eV per atom
calculated formation energy	-50	meV per atom

Cell and atoms, written as POSCAR:
```
KIn4Hg4
1.0
0.7903 3.8380 2.2044
-0.4548 -1.6484 7.6179
7.7064 0.3570 1.2007
In Hg K
4 4 1
direct
0.0008 0.6626 0.3358
0.6634 0.3358 0.3374
0.9992 0.3374 0.6642
0.3366 0.6642 0.6626
0.6738 0.6514 0.0011
0.3262 0.3486 0.9989
0.6749 0.9989 0.6514
0.3251 0.0011 0.3486
0.0000 0.0000 0.0000
```

=====

[4]
VASP calculation (PBE) on an optimized crystal structure of K3InHg.

Values from the calculation:
symmetry	C2/m, No. 12
density of states at the Fermi level	0.69	states/eV per atom
polymorph energy (0 for the lowest one)	54.7	meV per atom
calculated formation energy	-78	meV per atom

Cell and atoms, written as POSCAR:
```
K3InHg
1.0
-3.6894 -5.0148 5.8974
8.3710 -0.6725 1.7360
-1.8689 8.1772 -0.1324
Hg K In
2 6 2
direct
0.3766 0.2188 0.5954
0.6234 0.7812 0.4046
0.7283 0.4461 0.1744
0.8349 0.0165 0.2319
0.2717 0.5539 0.8256
0.7846 0.6030 0.7681
0.2154 0.3970 0.2319
0.1651 0.9835 0.7681
0.6742 0.0698 0.7440
0.3258 0.9302 0.2560
```

=====

[5]
VASP calculation (PBE) on an optimized crystal structure of KIn2Hg.

Values from the calculation:
symmetry	I-42d, No. 122
density of states at the Fermi level	0.50	states/eV per atom
calculated formation energy	16	meV per atom

Cell and atoms, written as POSCAR:
```
KIn2Hg
1.0
-4.3841 0.2337 -2.9407
-1.3336 -4.8556 1.6023
-8.2436 1.9283 7.6956
Hg In K
2 4 2
direct
0.0000 0.0000 0.0000
0.7500 0.2500 0.5000
0.7638 0.1250 0.2500
0.9862 0.6250 0.2500
0.3750 0.2362 0.7500
0.8750 0.0138 0.7500
0.5000 0.5000 0.0000
0.2500 0.7500 0.5000
```

=====

[6]
VASP calculation (PBE) on an optimized crystal structure of K2In3Hg5.

Values from the calculation:
symmetry	P-4m2, No. 115
density of states at the Fermi level	0.48	states/eV per atom
calculated formation energy	-146	meV per atom

Cell and atoms, written as POSCAR:
```
K2In3Hg5
1.0
5.3020 0.0000 0.0000
0.0000 5.3020 0.0000
0.0000 0.0000 11.4279
In K Hg
3 2 5
direct
0.5000 0.0000 0.6215
0.0000 0.5000 0.3785
0.0000 0.0000 0.5000
0.0000 0.5000 0.7566
0.5000 0.0000 0.2434
0.5000 0.5000 0.5000
0.0000 0.5000 0.1277
0.0000 0.0000 0.0000
0.5000 0.0000 0.8723
0.5000 0.5000 0.0000
```

=====

[7]
VASP calculation (PBE) on an optimized crystal structure of K2InHg.

Values from the calculation:
symmetry	Fm-3m, No. 225
density of states at the Fermi level	1.17	states/eV per atom
polymorph energy (0 for the lowest one)	135.1	meV per atom
calculated formation energy	-20	meV per atom

Cell and atoms, written as POSCAR:
```
K2InHg
1.0
-3.9522 -3.5680 2.7730
-3.7672 2.2895 4.0750
-5.8536 0.4625 -1.2493
Hg In K
1 1 2
direct
0.5000 0.5000 0.5000
0.0000 0.0000 0.0000
0.7500 0.7500 0.7500
0.2500 0.2500 0.2500
```

=====

[8]
VASP calculation (PBE) on an optimized crystal structure of K2InHg.

Values from the calculation:
symmetry	Pmm2, No. 25
density of states at the Fermi level	0.58	states/eV per atom
polymorph energy (0 for the lowest one)	58.6	meV per atom
calculated formation energy	-97	meV per atom

Cell and atoms, written as POSCAR:
```
K2InHg
1.0
-3.8520 -1.2377 0.0512
0.6460 -2.1513 -3.4005
2.5716 -7.7790 5.4098
K Hg In
2 1 1
direct
0.0000 0.0000 0.9334
0.5000 0.5000 0.3237
0.0000 0.0000 0.5521
0.5000 0.5000 0.6908
```

=====

[9]
VASP calculation (PBE) on an optimized crystal structure of KIn2Hg.

Values from the calculation:
symmetry	P4mm, No. 99
density of states at the Fermi level	0.40	states/eV per atom
calculated formation energy	-114	meV per atom

Cell and atoms, written as POSCAR:
```
KIn2Hg
1.0
3.7626 0.0264 0.0000
-0.0294 3.7626 0.0000
0.0000 0.0000 8.6224
Hg In K
1 2 1
direct
0.5000 0.5000 0.7838
0.5000 0.5000 0.2072
0.0000 0.0000 0.9962
0.0000 0.0000 0.5127
```

=====

[10]
VASP calculation (PBE) on an optimized crystal structure of KIn10Hg2.

Values from the calculation:
symmetry	Fmmm, No. 69
density of states at the Fermi level	0.41	states/eV per atom
calculated formation energy	-18	meV per atom

Cell and atoms, written as POSCAR:
```
KIn10Hg2
1.0
5.5219 0.0000 2.9398
2.7609 7.6277 1.4699
-0.9052 0.0000 8.3560
In Hg K
10 2 1
direct
0.6427 0.3565 0.3581
0.5000 0.5000 0.0000
0.3573 0.6435 0.6419
0.2871 0.2098 0.2159
0.4969 0.7902 0.2159
0.0000 0.5000 0.0000
0.5031 0.2098 0.7841
0.9992 0.6435 0.3581
0.7129 0.7902 0.7841
0.0008 0.3565 0.6419
0.0000 0.0000 0.5000
0.5000 0.0000 0.5000
0.0000 0.0000 0.0000
```

=====

[11]
VASP calculation (PBE) on an optimized crystal structure of KIn2Hg.

Values from the calculation:
symmetry	Pmmm, No. 47
density of states at the Fermi level	0.39	states/eV per atom
calculated formation energy	-68	meV per atom

Cell and atoms, written as POSCAR:
```
KIn2Hg
1.0
3.5966 0.0000 0.0000
0.0000 4.1725 0.0000
0.0000 0.0000 8.3331
In Hg K
2 1 1
direct
0.0000 0.0000 0.9404
0.0000 0.0000 0.5596
0.5000 0.5000 0.7500
0.5000 0.5000 0.2500
```

=====

[12]
VASP calculation (PBE) on an optimized crystal structure of K2InHg7.

Values from the calculation:
symmetry	P-4m2, No. 115
density of states at the Fermi level	0.45	states/eV per atom
polymorph energy (0 for the lowest one)	0.0	meV per atom
calculated formation energy	-169	meV per atom

Cell and atoms, written as POSCAR:
```
K2InHg7
1.0
4.9739 0.0000 0.0000
0.0000 4.9739 0.0000
0.0000 0.0000 12.7671
Hg K In
7 2 1
direct
0.0000 0.0000 0.0000
0.5000 0.0000 0.1322
0.0000 0.0000 0.5000
0.0000 0.5000 0.8678
0.5000 0.5000 0.5000
0.5000 0.0000 0.3609
0.0000 0.5000 0.6391
0.0000 0.5000 0.2502
0.5000 0.0000 0.7498
0.5000 0.5000 0.0000
```

=====

[13]
VASP calculation (PBE) on an optimized crystal structure of KIn4Hg15.

Values from the calculation:
symmetry	P2/m, No. 10
density of states at the Fermi level	0.24	states/eV per atom
calculated formation energy	-53	meV per atom

Cell and atoms, written as POSCAR:
```
KIn4Hg15
1.0
-3.1984 -3.9939 0.4075
3.1746 -2.8341 -2.8639
9.9284 -6.2019 17.1411
Hg K In
15 1 4
direct
0.5000 0.9990 0.3072
0.0000 0.5000 0.5000
0.5000 0.0000 0.5000
0.0000 0.4994 0.3073
0.5000 0.4994 0.4039
0.5000 0.5013 0.7915
0.0000 0.5004 0.8877
0.5000 0.5000 0.0000
0.5000 0.9987 0.1123
0.0000 0.5006 0.6927
0.5000 0.0013 0.8877
0.5000 0.5006 0.5961
0.0000 0.4996 0.1123
0.5000 0.4987 0.2085
0.5000 0.0010 0.6928
0.0000 0.0000 0.0000
0.0000 0.9994 0.2145
0.0000 0.0004 0.5978
0.0000 0.9996 0.4022
0.0000 0.0006 0.7855
```

=====

[14]
VASP calculation (PBE) on an optimized crystal structure of K2InHg2.

Values from the calculation:
symmetry	I4/mmm, No. 139
density of states at the Fermi level	0.85	states/eV per atom
polymorph energy (0 for the lowest one)	267.5	meV per atom
calculated formation energy	50	meV per atom

Cell and atoms, written as POSCAR:
```
K2InHg2
1.0
-0.6164 -3.8668 -3.4470
3.4902 -2.8751 2.6011
-3.8075 -6.1096 3.5871
Hg In K
2 1 2
direct
0.4006 0.4006 0.1988
0.5994 0.5994 0.8012
0.0000 0.0000 0.0000
0.7500 0.2500 0.5000
0.2500 0.7500 0.5000
```

=====

[15]
VASP calculation (PBE) on an optimized crystal structure of KInHg2.

Values from the calculation:
symmetry	Pm, No. 6
density of states at the Fermi level	0.38	states/eV per atom
calculated formation energy	-116	meV per atom

Cell and atoms, written as POSCAR:
```
KInHg2
1.0
5.0129 0.0000 0.0000
0.0000 3.6165 0.1334
0.0000 1.5215 6.7258
Hg K In
2 1 1
direct
0.0000 0.1793 0.0030
0.5000 0.0676 0.2729
0.5000 0.7897 0.7798
0.0000 0.4634 0.4444
```

=====

[16]
VASP calculation (PBE) on an optimized crystal structure of KIn2Hg6.

Values from the calculation:
symmetry	Fd-3m, No. 227
density of states at the Fermi level	0.58	states/eV per atom
polymorph energy (0 for the lowest one)	145.6	meV per atom
calculated formation energy	64	meV per atom

Cell and atoms, written as POSCAR:
```
KIn2Hg6
1.0
9.8270 0.0000 0.0000
4.9135 8.5104 0.0000
4.9135 2.8368 8.0237
K Hg In
2 12 4
direct
0.5000 0.5000 0.5000
0.7500 0.7500 0.7500
0.2509 0.7491 0.2509
0.2509 0.2509 0.7491
0.9991 0.9991 0.5009
0.2509 0.7491 0.7491
0.9991 0.5009 0.5009
0.5009 0.5009 0.9991
0.5009 0.9991 0.5009
0.5009 0.9991 0.9991
0.7491 0.2509 0.7491
0.9991 0.5009 0.9991
0.7491 0.2509 0.2509
0.7491 0.7491 0.2509
0.1250 0.6250 0.1250
0.1250 0.1250 0.6250
0.6250 0.1250 0.1250
0.1250 0.1250 0.1250
```

=====

[17]
VASP calculation (PBE) on an optimized crystal structure of K3In6Hg5.

Values from the calculation:
symmetry	Pmmn, No. 59
density of states at the Fermi level	0.30	states/eV per atom
calculated formation energy	-139	meV per atom

Cell and atoms, written as POSCAR:
```
K3In6Hg5
1.0
-3.3725 -1.9823 3.2864
-0.0955 -9.3087 -5.7129
11.2323 -5.2469 8.3617
K Hg In
6 10 12
direct
0.0000 0.7428 0.0000
0.0000 0.7519 0.6993
0.5000 0.2572 0.5000
0.5000 0.2481 0.1993
0.5000 0.2481 0.8007
0.0000 0.7519 0.3007
0.0000 0.4663 0.1297
0.0000 0.2359 0.0000
0.0000 0.1238 0.6651
0.5000 0.7641 0.5000
0.5000 0.5337 0.6297
0.0000 0.1238 0.3349
0.5000 0.5337 0.3703
0.0000 0.4663 0.8703
0.5000 0.8762 0.8349
0.5000 0.8762 0.1651
0.5000 0.0490 0.0000
0.0000 0.4018 0.3298
0.0000 0.4018 0.6702
0.0000 0.0236 0.8603
0.0000 0.9510 0.5000
0.5000 0.5982 0.8298
0.5000 0.4279 0.0000
0.5000 0.5982 0.1702
0.0000 0.5721 0.5000
0.5000 0.9764 0.6397
0.0000 0.0236 0.1397
0.5000 0.9764 0.3603
```

=====

[18]
VASP calculation (PBE) on an optimized crystal structure of K2InHg.

Values from the calculation:
symmetry	C2/m, No. 12
density of states at the Fermi level	0.67	states/eV per atom
polymorph energy (0 for the lowest one)	168.0	meV per atom
calculated formation energy	13	meV per atom

Cell and atoms, written as POSCAR:
```
K2InHg
1.0
5.7453 -0.0440 -0.0309
4.6199 3.4157 -0.0309
0.9929 0.3230 7.9352
K Hg In
2 1 1
direct
0.4968 0.4968 0.5031
0.0032 0.0032 0.9969
0.7500 0.7500 0.7500
0.2500 0.2500 0.2500
```

=====

[19]
VASP calculation (PBE) on an optimized crystal structure of K4InHg12.

Values from the calculation:
symmetry	Im-3m, No. 229
density of states at the Fermi level	0.47	states/eV per atom
calculated formation energy	-194	meV per atom

Cell and atoms, written as POSCAR:
```
K4InHg12
1.0
-3.9282 -2.2063 7.5771
1.5202 -7.2705 -4.7476
7.6450 4.0379 1.7204
Hg K In
12 4 1
direct
0.2500 0.5000 0.7500
0.3041 0.0000 0.3041
0.7500 0.2500 0.5000
0.5000 0.7500 0.2500
0.0000 0.6959 0.6959
0.3041 0.3041 0.0000
0.0000 0.3041 0.3041
0.6959 0.6959 0.0000
0.5000 0.2500 0.7500
0.2500 0.7500 0.5000
0.6959 0.0000 0.6959
0.7500 0.5000 0.2500
0.0000 0.5000 0.0000
0.0000 0.0000 0.5000
0.5000 0.5000 0.5000
0.5000 0.0000 0.0000
0.0000 0.0000 0.0000
```

=====

[20]
VASP calculation (PBE) on an optimized crystal structure of K2InHg7.

Values from the calculation:
symmetry	Fm-3m, No. 225
density of states at the Fermi level	0.51	states/eV per atom
polymorph energy (0 for the lowest one)	103.7	meV per atom
calculated formation energy	-65	meV per atom

Cell and atoms, written as POSCAR:
```
K2InHg7
1.0
8.1019 0.0000 0.0000
4.0510 7.0165 0.0000
4.0510 2.3388 6.6152
Hg K In
7 2 1
direct
0.5000 0.5000 0.5000
0.7491 0.2509 0.2509
0.2509 0.7491 0.7491
0.7491 0.2509 0.7491
0.7491 0.7491 0.2509
0.2509 0.7491 0.2509
0.2509 0.2509 0.7491
0.2500 0.2500 0.2500
0.7500 0.7500 0.7500
0.0000 0.0000 0.0000
```